# 1
# Nd2GaPd4 PBE-GGA optimized geometry
# Final energy   -5.407 eV per atom
# Calculated formation energy   -14.877 kcal/mol of atoms
# Fermi-level density of states   3.5 states/eV/cell
# Spin magnetization   0.000 μB/cell
data_Nd2GaPd4
_chemical_formula_sum 'Nd4 Ga2 Pd8'
_space_group_name_H-M_alt 'I 4/m m m'
_space_group_IT_number 139
_space_group_name_Hall '-I 4 2'
_cell_length_a 6.210
_cell_length_b 6.210
_cell_length_c 8.205
_cell_angle_alpha 90.00
_cell_angle_beta 90.00
_cell_angle_gamma 90.00
loop_
_atom_site_label
_atom_site_fract_x
_atom_site_fract_y
_atom_site_fract_z
_atom_site_occupancy
Nd1 0.000 0.500 0.250 1
Ga1 0.000 0.000 0.000 1
Pd1 0.219 0.219 0.500 1

=====

# 2
# PmNdGaPd PBE-GGA optimized geometry
# Final energy   -5.040 eV per atom
# Calculated formation energy   -13.966 kcal/mol of atoms
# Fermi-level density of states   15.9 states/eV/cell
# Spin magnetization   0.000 μB/cell
data_PmNdGaPd
_chemical_formula_sum 'Pm4 Nd4 Ga4 Pd4'
_space_group_name_H-M_alt 'F -4 3 m'
_space_group_IT_number 216
_space_group_name_Hall 'F -4 2 3'
_cell_length_a 7.325
_cell_length_b 7.325
_cell_length_c 7.325
_cell_angle_alpha 90.00
_cell_angle_beta 90.00
_cell_angle_gamma 90.00
loop_
_atom_site_label
_atom_site_fract_x
_atom_site_fract_y
_atom_site_fract_z
_atom_site_occupancy
Pm1 0.000 0.000 0.000 1
Nd1 0.000 0.000 0.500 1
Ga1 0.250 0.250 0.250 1
Pd1 0.250 0.250 0.750 1

=====

# 3
# PmNdGaPd PBE-GGA optimized geometry
# Final energy   -5.103 eV per atom
# Calculated formation energy   -15.407 kcal/mol of atoms
# Fermi-level density of states   9.5 states/eV/cell
# Spin magnetization   0.000 μB/cell
data_PmNdGaPd
_chemical_formula_sum 'Pm2 Nd2 Ga2 Pd2'
_space_group_name_H-M_alt 'A m m 2'
_space_group_IT_number 38
_cell_length_a 4.497
_cell_length_b 3.978
_cell_length_c 11.268
_cell_angle_alpha 90.00
_cell_angle_beta 90.00
_cell_angle_gamma 90.00
loop_
_space_group_symop_operation_xyz
'x,y,z'
'-x,-y,z'
'-x,y,z'
'x,-y,z'
'x,y+1/2,z+1/2'
'-x,-y+1/2,z+1/2'
'-x,y+1/2,z+1/2'
'x,-y+1/2,z+1/2'
loop_
_atom_site_label
_atom_site_fract_x
_atom_site_fract_y
_atom_site_fract_z
_atom_site_occupancy
Pm1 0.000 0.000 0.000 1
Nd1 0.500 0.000 0.717 1
Ga1 0.000 0.000 0.285 1
Pd1 0.500 0.000 0.432 1

=====

# 4
# PrNdGaPd PBE-GGA optimized geometry
# Final energy   -5.024 eV per atom
# Calculated formation energy   -13.427 kcal/mol of atoms
# Fermi-level density of states   16.5 states/eV/cell
# Spin magnetization   0.000 μB/cell
data_PrNdGaPd
_chemical_formula_sum 'Pr4 Nd4 Ga4 Pd4'
_space_group_name_H-M_alt 'F -4 3 m'
_space_group_IT_number 216
_space_group_name_Hall 'F -4 2 3'
_cell_length_a 7.379
_cell_length_b 7.379
_cell_length_c 7.379
_cell_angle_alpha 90.00
_cell_angle_beta 90.00
_cell_angle_gamma 90.00
loop_
_atom_site_label
_atom_site_fract_x
_atom_site_fract_y
_atom_site_fract_z
_atom_site_occupancy
Pr1 0.000 0.000 0.000 1
Nd1 0.000 0.000 0.500 1
Ga1 0.250 0.250 0.750 1
Pd1 0.250 0.250 0.250 1

=====

# 5
# PrNdGa2Pd5 PBE-GGA optimized geometry
# Final energy   -5.387 eV per atom
# Calculated formation energy   -17.719 kcal/mol of atoms
# Fermi-level density of states   7.0 states/eV/cell
# Spin magnetization   0.000 μB/cell
data_PrNdGa2Pd5
_chemical_formula_sum 'Pr1 Nd1 Ga2 Pd5'
_space_group_name_H-M_alt 'P 4/m m m'
_space_group_IT_number 123
_space_group_name_Hall '-P 4 2'
_cell_length_a 4.316
_cell_length_b 4.316
_cell_length_c 9.278
_cell_angle_alpha 90.00
_cell_angle_beta 90.00
_cell_angle_gamma 90.00
loop_
_atom_site_label
_atom_site_fract_x
_atom_site_fract_y
_atom_site_fract_z
_atom_site_occupancy
Pr1 0.000 0.000 0.000 1
Nd1 0.000 0.000 0.500 1
Ga1 0.500 0.500 0.362 1
Pd1 0.000 0.500 0.226 1
Pd2 0.500 0.500 0.000 1

=====

# 6
# PrNdGaPd PBE-GGA optimized geometry
# Final energy   -5.096 eV per atom
# Calculated formation energy   -15.076 kcal/mol of atoms
# Fermi-level density of states   8.8 states/eV/cell
# Spin magnetization   0.000 μB/cell
data_PrNdGaPd
_chemical_formula_sum 'Pr2 Nd2 Ga2 Pd2'
_space_group_name_H-M_alt 'A m m 2'
_space_group_IT_number 38
_cell_length_a 4.440
_cell_length_b 4.224
_cell_length_c 10.981
_cell_angle_alpha 90.00
_cell_angle_beta 90.00
_cell_angle_gamma 90.00
loop_
_space_group_symop_operation_xyz
'x,y,z'
'-x,-y,z'
'-x,y,z'
'x,-y,z'
'x,y+1/2,z+1/2'
'-x,-y+1/2,z+1/2'
'-x,y+1/2,z+1/2'
'x,-y+1/2,z+1/2'
loop_
_atom_site_label
_atom_site_fract_x
_atom_site_fract_y
_atom_site_fract_z
_atom_site_occupancy
Pr1 0.000 0.000 0.000 1
Nd1 0.500 0.000 0.282 1
Ga1 0.500 0.000 0.569 1
Pd1 0.000 0.000 0.716 1

=====

# 7
# NdGa3PdPt PBE-GGA optimized geometry
# Final energy   -4.739 eV per atom
# Calculated formation energy   -12.875 kcal/mol of atoms
# Fermi-level density of states   12.1 states/eV/cell
# Spin magnetization   0.000 μB/cell
data_NdGa3PdPt
_chemical_formula_sum 'Nd4 Ga12 Pd4 Pt4'
_space_group_name_H-M_alt 'C m c m'
_space_group_IT_number 63
_space_group_name_Hall '-C 2c 2'
_cell_length_a 6.128
_cell_length_b 12.825
_cell_length_c 5.998
_cell_angle_alpha 90.00
_cell_angle_beta 90.00
_cell_angle_gamma 90.00
loop_
_atom_site_label
_atom_site_fract_x
_atom_site_fract_y
_atom_site_fract_z
_atom_site_occupancy
Nd1 0.000 0.213 0.250 1
Ga1 0.000 0.354 0.750 1
Ga2 0.206 0.000 0.000 1
Pd1 0.000 0.151 0.750 1
Pt1 0.000 0.428 0.250 1

=====

# 8
# NdGa5Pd2Pt PBE-GGA optimized geometry
# Final energy   -4.493 eV per atom
# Calculated formation energy   -10.537 kcal/mol of atoms
# Fermi-level density of states   4.1 states/eV/cell
# Spin magnetization   0.000 μB/cell
data_NdGa5Pd2Pt
_chemical_formula_sum 'Nd1 Ga5 Pd2 Pt1'
_space_group_name_H-M_alt 'P 4/m m m'
_space_group_IT_number 123
_space_group_name_Hall '-P 4 2'
_cell_length_a 4.305
_cell_length_b 4.305
_cell_length_c 10.200
_cell_angle_alpha 90.00
_cell_angle_beta 90.00
_cell_angle_gamma 90.00
loop_
_atom_site_label
_atom_site_fract_x
_atom_site_fract_y
_atom_site_fract_z
_atom_site_occupancy
Nd1 0.000 0.000 0.000 1
Ga1 0.000 0.500 0.354 1
Ga2 0.500 0.500 0.000 1
Pd1 0.500 0.500 0.230 1
Pt1 0.000 0.000 0.500 1

=====

# 9
# NdGa2Pd2Pt PBE-GGA optimized geometry
# Final energy   -5.072 eV per atom
# Calculated formation energy   -12.237 kcal/mol of atoms
# Fermi-level density of states   2.5 states/eV/cell
# Spin magnetization   0.000 μB/cell
data_NdGa2Pd2Pt
_chemical_formula_sum 'Nd1 Ga2 Pd2 Pt1'
_space_group_name_H-M_alt 'P 4/m m m'
_space_group_IT_number 123
_space_group_name_Hall '-P 4 2'
_cell_length_a 4.739
_cell_length_b 4.739
_cell_length_c 5.616
_cell_angle_alpha 90.00
_cell_angle_beta 90.00
_cell_angle_gamma 90.00
loop_
_atom_site_label
_atom_site_fract_x
_atom_site_fract_y
_atom_site_fract_z
_atom_site_occupancy
Nd1 0.000 0.000 0.000 1
Ga1 0.000 0.500 0.500 1
Pd1 0.500 0.500 0.244 1
Pt1 0.000 0.000 0.500 1

=====

# 10
# NdGa4PdPt2 PBE-GGA optimized geometry
# Final energy   -4.983 eV per atom
# Calculated formation energy   -16.461 kcal/mol of atoms
# Fermi-level density of states   10.1 states/eV/cell
# Spin magnetization   0.000 μB/cell
data_NdGa4PdPt2
_chemical_formula_sum 'Nd3 Ga12 Pd3 Pt6'
_space_group_name_H-M_alt 'R -3 m'
_space_group_IT_number 166
_space_group_name_Hall '-R 3 2"'
_cell_length_a 4.3193
_cell_length_b 4.3193
_cell_length_c 26.5878
_cell_angle_alpha 90.00
_cell_angle_beta 90.00
_cell_angle_gamma 120.00
loop_
_atom_site_label
_atom_site_fract_x
_atom_site_fract_y
_atom_site_fract_z
_atom_site_occupancy
Nd1 0.0000 0.0000 0.0000 1
Ga1 0.0000 0.0000 0.1316 1
Ga2 0.0000 0.0000 0.3994 1
Pd1 0.0000 0.0000 0.5000 1
Pt1 0.0000 0.0000 0.2386 1

=====

# 11
# NdGa2PdPt5 PBE-GGA optimized geometry
# Final energy   -5.668 eV per atom
# Calculated formation energy   -12.273 kcal/mol of atoms
# Fermi-level density of states   4.1 states/eV/cell
# Spin magnetization   0.000 μB/cell
data_NdGa2PdPt5
_chemical_formula_sum 'Nd1 Ga2 Pd1 Pt5'
_space_group_name_H-M_alt 'P 4/m m m'
_space_group_IT_number 123
_space_group_name_Hall '-P 4 2'
_cell_length_a 4.060
_cell_length_b 4.060
_cell_length_c 9.812
_cell_angle_alpha 90.00
_cell_angle_beta 90.00
_cell_angle_gamma 90.00
loop_
_atom_site_label
_atom_site_fract_x
_atom_site_fract_y
_atom_site_fract_z
_atom_site_occupancy
Nd1 0.000 0.000 0.000 1
Ga1 0.500 0.500 0.377 1
Pd1 0.000 0.000 0.500 1
Pt1 0.000 0.500 0.229 1
Pt2 0.500 0.500 0.000 1

=====

# 12
# NdGa5PdPt2 PBE-GGA optimized geometry
# Final energy   -4.633 eV per atom
# Calculated formation energy   -11.573 kcal/mol of atoms
# Fermi-level density of states   3.6 states/eV/cell
# Spin magnetization   0.000 μB/cell
data_NdGa5PdPt2
_chemical_formula_sum 'Nd1 Ga5 Pd1 Pt2'
_space_group_name_H-M_alt 'P 4/m m m'
_space_group_IT_number 123
_space_group_name_Hall '-P 4 2'
_cell_length_a 4.338
_cell_length_b 4.338
_cell_length_c 10.077
_cell_angle_alpha 90.00
_cell_angle_beta 90.00
_cell_angle_gamma 90.00
loop_
_atom_site_label
_atom_site_fract_x
_atom_site_fract_y
_atom_site_fract_z
_atom_site_occupancy
Nd1 0.000 0.000 0.000 1
Ga1 0.000 0.500 0.355 1
Ga2 0.500 0.500 0.000 1
Pd1 0.000 0.000 0.500 1
Pt1 0.500 0.500 0.232 1